The following is a PBE calculation of an optimized crystal structure of TlTc2W, from Alexandria via LeMat-Bulk.

energy of formation	1.007	eV/atom
ΔE to the lowest computed polymorph	642	meV per atom
space-group type	I-42d, No. 122

The structure in extended XYZ format:
```
8
Lattice="7.411 0.000 0.000 0.000 7.411 0.000 3.705 3.705 2.788" Properties=species:S:1:pos:R:3 pbc="T T T"
Tl 0.000 0.000 0.000
Tl 7.411 3.705 1.394
Tc 5.164 1.853 0.697
Tc 2.247 5.558 0.697
Tc 5.558 5.952 2.091
Tc 9.264 8.870 2.091
W 3.705 3.705 0.000
W 3.705 7.411 1.394
```

---

The following is a PBE calculation of an optimized crystal structure of TlTc2W, from Alexandria via LeMat-Bulk.

energy of formation	0.502	eV/atom
ΔE to the lowest computed polymorph	137	meV per atom
space-group type	Cmmm, No. 65

The structure in extended XYZ format:
```
4
Lattice="2.878 -0.008 0.000 -1.134 2.645 0.000 0.000 0.000 9.111" Properties=species:S:1:pos:R:3 pbc="T T T"
Tc 0.000 0.000 8.892
Tc 0.000 0.000 4.774
Tl 0.872 1.319 2.278
W 0.872 1.319 6.833
```

---

The following is a PBE calculation of an optimized crystal structure of TlTc2W, from Alexandria via LeMat-Bulk.

energy of formation	0.365	eV/atom
ΔE to the lowest computed polymorph	0	meV per atom
space-group type	P4/mmm, No. 123

The structure in extended XYZ format:
```
4
Lattice="-3.032 0.011 0.842 0.704 -1.696 2.556 1.008 5.772 3.554" Properties=species:S:1:pos:R:3 pbc="T T T"
Tc 0.977 5.595 3.445
Tc 0.535 3.063 1.886
Tl -0.912 0.600 2.588
W -0.408 3.486 4.365
```

---

> Which formula does entry 3 have?

TlTc2W

---

> What is the energy of formation in the third record?

0.365 eV/atom

---

Copy entry 1 word for word.
The following is a PBE calculation of an optimized crystal structure of TlTc2W, from Alexandria via LeMat-Bulk.

energy of formation	1.007	eV/atom
ΔE to the lowest computed polymorph	642	meV per atom
space-group type	I-42d, No. 122

The structure in extended XYZ format:
```
8
Lattice="7.411 0.000 0.000 0.000 7.411 0.000 3.705 3.705 2.788" Properties=species:S:1:pos:R:3 pbc="T T T"
Tl 0.000 0.000 0.000
Tl 7.411 3.705 1.394
Tc 5.164 1.853 0.697
Tc 2.247 5.558 0.697
Tc 5.558 5.952 2.091
Tc 9.264 8.870 2.091
W 3.705 3.705 0.000
W 3.705 7.411 1.394
```